1.
Computed, not measured: crystalline Y2TiCu3Ni12 at its relaxed geometry at the PBE-GGA level of DFT.

Unit cell a=8.2879 b=8.2879 c=12.2061 alpha=90.00 beta=90.00 gamma=120.00
Space group R-3m (No. 166, hexagonal axes)
Symmetry-distinct sites (fractional):
Y (0.0000, 0.0000, 0.2128) x6
Ti (0.0000, 0.0000, 0.5000) x3
Cu (0.0000, 0.5000, 0.0000) x9
Ni (0.0160, 0.5080, 0.2071) x18
Ni (0.0376, 0.5188, 0.6050) x18

Calculated values
V in Å³/cell: 726.11
DFT total energy in Ry per atom: -0.4217
Energy of formation from the pure elements in meV/atom: -44

2.
Computed, not measured: crystalline CsNdMnTe4 at its relaxed geometry at the PBE-GGA level of DFT.

Unit cell a=7.900 b=6.379 c=10.905 alpha=90.00 beta=105.15 gamma=90.00
Space group P2_1/m (No. 11)
Symmetry-distinct sites (fractional):
Cs (0.238, 0.250, 0.047) x2
Nd (0.254, 0.250, 0.549) x2
Mn (0.274, 0.750, 0.340) x2
Te (0.008, 0.506, 0.701) x4
Te (0.421, 0.750, 0.585) x2
Te (0.466, 0.750, 0.182) x2

Calculated values
Formation energy from raw total energies in meV per atom: -824
V in Å³/cell: 530.39
DFT total energy in Ry per atom: -0.3478

3.
Computed, not measured: crystalline KSr2ZrCl at its relaxed geometry at the PBE-GGA level of DFT.

Unit cell a=6.510 b=6.510 c=6.751 alpha=90.00 beta=90.00 gamma=90.00
Space group P4/mmm (No. 123)
Symmetry-distinct sites (fractional):
K (0.000, 0.000, 0.000) x1
Sr (0.000, 0.500, 0.500) x2
Zr (0.000, 0.000, 0.500) x1
Cl (0.500, 0.500, 0.000) x1

Calculated values
Formation energy from raw total energies in meV per atom: 505
V in Å³/cell: 286.12
DFT total energy in Ry per atom: -0.1813

Calculated values (μB/f.u.) of M_tot for the records, taken in order: 0.00, 4.20, 5.47.